DFT (PBE-GGA) results for an optimized crystal structure of TiSbP2Cl.

abc: 5.0621 5.0621 5.0033
angles: 90.00 90.00 90.00
Last column: nearest neighbours and their distance in Å.
Atoms (fractional coordinates):
Ti (0.0000, 0.0000, 0.0000)  8 P 3.56, 4 Cl 3.58
Sb (0.5000, 0.5000, 0.5000)  2 Cl 2.50, 4 P 2.53
P (0.0000, 0.5000, 0.5000)  2 Sb 2.53
P (0.5000, 0.0000, 0.5000)  2 Sb 2.53
Cl (0.5000, 0.5000, 0.0000)  2 Sb 2.50

Values from the calculation:
The value obtained for the density of states at the Fermi level is 7.52 states/eV per cell. The total energy is -4.131 eV/atom. As for the offset from the most stable computed form: 841 meV per atom.

=====

DFT (PBE-GGA) results for an optimized crystal structure of Sr3GaPt8.

abc: 9.4752 9.4752 9.4752
angles: 34.10 34.10 34.10
Last column: nearest neighbours and their distance in Å.
Atoms (fractional coordinates):
Sr (0.0000, 0.0000, 0.0000)  12 Pt 3.11-3.28, 3 Ga 3.25, 1 Sr 3.45
Sr (0.1291, 0.1291, 0.1291)  12 Pt 3.23-3.26, 4 Sr 3.45-3.49
Sr (0.5141, 0.5141, 0.5141)  12 Pt 3.12-3.48, 3 Sr 3.49
Ga (0.6483, 0.6483, 0.6483)  3 Pt 2.75
Pt (0.0645, 0.5654, 0.5654)  1 Ga 2.75, 6 Pt 2.75-2.78
Pt (0.0667, 0.0667, 0.5676)  6 Pt 2.70-2.78
Pt (0.0667, 0.5676, 0.0667)  6 Pt 2.70-2.78
Pt (0.3149, 0.3149, 0.3149)  6 Pt 2.70-2.75
Pt (0.5654, 0.0645, 0.5654)  1 Ga 2.75, 6 Pt 2.75-2.78
Pt (0.5654, 0.5654, 0.0645)  1 Ga 2.75, 6 Pt 2.75-2.78
Pt (0.5676, 0.0667, 0.0667)  6 Pt 2.70-2.78
Pt (0.8162, 0.8162, 0.8162)  6 Pt 2.76-2.77

Values from the calculation:
The value obtained for the density of states at the Fermi level is 5.20 states/eV per cell. The formation energy comes out at -0.7402 eV/atom. The total energy is -5.440 eV/atom.

=====

DFT (PBE-GGA) results for an optimized crystal structure of Ba2MgSn4Pd3.

abc: 4.7639 4.7639 11.3726
angles: 90.00 90.00 90.00
Last column: nearest neighbours and their distance in Å.
Atoms (fractional coordinates):
Ba (0.0000, 0.5000, 0.2489)  8 Sn 3.61-3.70, 6 Pd 3.67-3.72, 2 Mg 3.72
Ba (0.5000, 0.0000, 0.7511)  8 Sn 3.61-3.70, 6 Pd 3.67-3.72, 2 Mg 3.72
Mg (0.0000, 0.0000, 0.5000)  4 Sn 2.85
Sn (0.0000, 0.0000, 0.0000)  4 Pd 2.76
Sn (0.0000, 0.5000, 0.6374)  3 Pd 2.74-2.85, 2 Mg 2.85
Sn (0.5000, 0.0000, 0.3626)  3 Pd 2.74-2.85, 2 Mg 2.85
Sn (0.5000, 0.5000, 0.0000)  4 Pd 2.76
Pd (0.0000, 0.5000, 0.8781)  5 Sn 2.74-2.76
Pd (0.5000, 0.0000, 0.1219)  5 Sn 2.74-2.76
Pd (0.5000, 0.5000, 0.5000)  4 Sn 2.85

Values from the calculation:
The value obtained for the density of states at the Fermi level is 4.71 states/eV per cell. The formation energy comes out at -0.6462 eV/atom. The total energy is -4.349 eV/atom.

=====

DFT (PBE-GGA) results for an optimized crystal structure of SrHg2F6.

abc: 6.5247 6.5247 7.7913
angles: 122.67 122.67 38.95
Last column: nearest neighbours and their distance in Å.
Atoms (fractional coordinates):
Sr (0.0000, 0.0000, 0.0000)  8 F 2.50-2.61
Hg (0.1791, 0.1791, 0.6233)  5 F 2.21-2.38
Hg (0.8209, 0.8209, 0.3767)  5 F 2.21-2.38
F (0.0144, 0.0144, 0.6930)  2 Hg 2.24-2.38, 1 Sr 2.50
F (0.2346, 0.2346, 0.3533)  3 Hg 2.38-2.56, 1 Sr 2.61
F (0.3697, 0.3697, 0.9343)  1 Hg 2.21
F (0.6303, 0.6303, 0.0657)  1 Hg 2.21
F (0.7654, 0.7654, 0.6467)  3 Hg 2.38-2.56, 1 Sr 2.61
F (0.9856, 0.9856, 0.3070)  2 Hg 2.24-2.38, 1 Sr 2.50

Values from the calculation:
The value obtained for the density of states at the Fermi level is 0.00 states/eV per cell. The total energy is -3.749 eV/atom.